# GGA-PBE Mn2BeNi, optimized geometry
# - Raw total energy: -6.9920 eV per atom
# - Spin magnetization: 0.00 μB/f.u.
# - DFT formation energy: -30 meV/atom
data_Mn2BeNi
_cell_length_a 2.8889
_cell_length_b 3.5361
_cell_length_c 3.9424
_cell_angle_alpha 90.00
_cell_angle_beta 90.00
_cell_angle_gamma 90.00
_space_group_name_H-M_alt 'P m m m'
_space_group_IT_number 47
_space_group_name_Hall '-P 2 2'
loop_
_atom_site_label
_atom_site_fract_x
_atom_site_fract_y
_atom_site_fract_z
Mn1 0.0000 0.0000 0.0000
Mn2 0.5000 0.5000 0.0000
Be1 0.0000 0.5000 0.5000
Ni1 0.5000 0.0000 0.5000